NaCaFe2Bi: optimized geometry, GGA-PBE.

Output
As for the density of states at the Fermi level: 2.13 states/eV per atom. Its raw total energy is -3.9433 eV/atom. The formation energy comes out at 0.88 eV/atom.

```
NaCaFe2Bi
1.0
-2.7260 2.6444 -3.4031
-3.7204 -4.6052 -0.5983
-2.8997 1.8537 3.7631
Fe Ca Na Bi
2 1 1 1
Cartesian
-1.4498 0.9268 1.8816
-1.3630 1.3222 -1.7016
-1.8602 -2.3026 -0.2992
-4.6730 -0.0535 -0.1192
0.0000 0.0000 0.0000
```